1.
Density functional theory data (PBE) for a relaxed SiPS2I crystal.

Properties
Formation energy without anion corrections: 134.38 kJ/mol of atoms
Polymorph energy (0 for the lowest one): 435 kJ/mol of formula units
M_tot: 0.0 μB per formula unit
E: -2.735 eV/atom
Crystal system: tetragonal

Structure (CIF):
```
data_SiPS2I
_cell_length_a 5.027
_cell_length_b 5.027
_cell_length_c 5.178
_cell_angle_alpha 90.00
_cell_angle_beta 90.00
_cell_angle_gamma 90.00
_symmetry_space_group_name_H-M 'P 4/m m m'
_symmetry_Int_Tables_number 123
_symmetry_space_group_name_Hall '-P 4 2'
loop_
_atom_site_label
_atom_site_type_symbol
_atom_site_fract_x
_atom_site_fract_y
_atom_site_fract_z
Si1 Si 0.000 0.000 0.000
P1 P 0.500 0.500 0.000
S1 S 0.000 0.500 0.500
I1 I 0.500 0.500 0.500
```



2.
Density functional theory data (PBE) for a relaxed SiPS2I crystal.

Properties
Formation energy without anion corrections: 47.44 kJ/mol of atoms
Polymorph energy (0 for the lowest one): 0 kJ/mol of formula units
M_tot: 0.0 μB per formula unit
E: -3.636 eV/atom
Crystal system: tetragonal

Structure (CIF):
```
data_SiPS2I
_cell_length_a 4.396
_cell_length_b 4.396
_cell_length_c 5.313
_cell_angle_alpha 90.00
_cell_angle_beta 90.00
_cell_angle_gamma 90.00
_symmetry_space_group_name_H-M 'P 4/m m m'
_symmetry_Int_Tables_number 123
_symmetry_space_group_name_Hall '-P 4 2'
loop_
_atom_site_label
_atom_site_type_symbol
_atom_site_fract_x
_atom_site_fract_y
_atom_site_fract_z
Si1 Si 0.000 0.000 0.000
P1 P 0.000 0.000 0.500
S1 S 0.000 0.500 0.000
I1 I 0.500 0.500 0.500
```



3.
Density functional theory data (PBE) for a relaxed SmPS4I crystal.

Properties
Formation energy without anion corrections: -63.50 kJ/mol of atoms
M_tot: 0.0 μB per formula unit
E: -4.685 eV/atom
Crystal system: monoclinic

Structure (CIF):
```
data_SmPS4I
_cell_length_a 11.024
_cell_length_b 8.891
_cell_length_c 8.902
_cell_angle_alpha 90.00
_cell_angle_beta 95.14
_cell_angle_gamma 90.00
_symmetry_space_group_name_H-M 'C 1 2/m 1'
_symmetry_Int_Tables_number 12
loop_
_symmetry_equiv_pos_as_xyz
'x,y,z'
'-x,-y,-z'
'-x,y,-z'
'x,-y,z'
'x+1/2,y+1/2,z'
'-x+1/2,-y+1/2,-z'
'-x+1/2,y+1/2,-z'
'x+1/2,-y+1/2,z'
loop_
_atom_site_label
_atom_site_type_symbol
_atom_site_fract_x
_atom_site_fract_y
_atom_site_fract_z
Sm1 Sm 0.202 0.000 0.075
P1 P 0.103 0.500 0.233
S1 S 0.073 0.500 0.718
S2 S 0.155 0.324 0.097
S3 S 0.184 0.500 0.443
I1 I 0.035 0.000 0.766
```



4.
Density functional theory data (PBE) for a relaxed SnPS2I crystal.

Properties
Formation energy without anion corrections: 67.12 kJ/mol of atoms
Polymorph energy (0 for the lowest one): 0 kJ/mol of formula units
M_tot: 0.0 μB per formula unit
E: -3.148 eV/atom
Crystal system: tetragonal

Structure (CIF):
```
data_SnPS2I
_cell_length_a 4.870
_cell_length_b 4.870
_cell_length_c 5.628
_cell_angle_alpha 90.00
_cell_angle_beta 90.00
_cell_angle_gamma 90.00
_symmetry_space_group_name_H-M 'P 4/m m m'
_symmetry_Int_Tables_number 123
_symmetry_space_group_name_Hall '-P 4 2'
loop_
_atom_site_label
_atom_site_type_symbol
_atom_site_fract_x
_atom_site_fract_y
_atom_site_fract_z
Sn1 Sn 0.000 0.000 0.000
P1 P 0.000 0.000 0.500
S1 S 0.000 0.500 0.000
I1 I 0.500 0.500 0.500
```



5.
Density functional theory data (PBE) for a relaxed SnPS2I crystal.

Properties
Formation energy without anion corrections: 84.02 kJ/mol of atoms
Polymorph energy (0 for the lowest one): 85 kJ/mol of formula units
M_tot: 0.0 μB per formula unit
E: -2.973 eV/atom
Crystal system: tetragonal

Structure (CIF):
```
data_SnPS2I
_cell_length_a 5.079
_cell_length_b 5.079
_cell_length_c 5.192
_cell_angle_alpha 90.00
_cell_angle_beta 90.00
_cell_angle_gamma 90.00
_symmetry_space_group_name_H-M 'P 4/m m m'
_symmetry_Int_Tables_number 123
_symmetry_space_group_name_Hall '-P 4 2'
loop_
_atom_site_label
_atom_site_type_symbol
_atom_site_fract_x
_atom_site_fract_y
_atom_site_fract_z
Sn1 Sn 0.000 0.000 0.000
P1 P 0.500 0.500 0.000
S1 S 0.000 0.500 0.500
I1 I 0.500 0.500 0.500
```



6.
Density functional theory data (PBE) for a relaxed SnP2SI crystal.

Properties
Formation energy without anion corrections: 108.53 kJ/mol of atoms
Polymorph energy (0 for the lowest one): 99 kJ/mol of formula units
M_tot: 0.0 μB per formula unit
E: -2.975 eV/atom
Crystal system: tetragonal

Structure (CIF):
```
data_SnP2SI
_cell_length_a 5.165
_cell_length_b 5.165
_cell_length_c 5.056
_cell_angle_alpha 90.00
_cell_angle_beta 90.00
_cell_angle_gamma 90.00
_symmetry_space_group_name_H-M 'P 4/m m m'
_symmetry_Int_Tables_number 123
_symmetry_space_group_name_Hall '-P 4 2'
loop_
_atom_site_label
_atom_site_type_symbol
_atom_site_fract_x
_atom_site_fract_y
_atom_site_fract_z
Sn1 Sn 0.000 0.000 0.000
P1 P 0.000 0.500 0.500
S1 S 0.500 0.500 0.000
I1 I 0.500 0.500 0.500
```